Compound: CsFeCl4
Source: Alexandria
Functional: GGA-PBE
Structure: relaxed

The structure in extended XYZ format:
```
12
Lattice="-3.532 -2.634 -2.310 -1.107 -3.926 6.170 -4.959 7.785 4.063" Properties=species:S:1:pos:R:3 pbc="T T T"
Cl -6.154 2.780 0.884
Cl -6.653 1.012 3.664
Cl 0.000 0.000 0.000
Fe -2.174 -1.652 5.209
Fe -7.424 2.877 2.715
Cs -3.403 -0.990 0.976
Cl -3.444 -1.555 7.040
Cs -6.195 2.215 6.948
Cl -0.554 -1.963 3.085
Cl -5.926 4.452 3.986
Cl -3.672 -3.227 3.938
Cl -2.945 0.214 4.260
```

Summary:
The value obtained for the density of states at the Fermi level is 0.50 states/eV/cell. Its distance to the lowest polymorph of the same formula is 153.1 meV per atom. The volume comes out at 360 Å³/cell. The calculation puts the total energy at -3.911 eV/atom.